A crystal of KNaFe2Sb relaxed with PBEsol, computed with meta-GGA SCAN.

```
data_KNaFe2Sb
_cell_length_a 4.721
_cell_length_b 4.721
_cell_length_c 4.727
_cell_angle_alpha 90.00
_cell_angle_beta 90.00
_cell_angle_gamma 90.00
_space_group_name_H-M_alt 'P 4/m m m'
_space_group_IT_number 123
_space_group_name_Hall '-P 4 2'
loop_
_atom_site_label
_atom_site_type_symbol
_atom_site_fract_x
_atom_site_fract_y
_atom_site_fract_z
_atom_site_occupancy
K1 K 0.000 0.000 0.000 1
Na1 Na 0.000 0.000 0.500 1
Fe1 Fe 0.000 0.500 0.000 1
Sb1 Sb 0.500 0.500 0.500 1
```

Properties
- E_form (uncorrected): 1.5698 eV per atom
- Total moment: 5.81 μB per formula unit

=====

A crystal of Tl2SiBr relaxed with PBEsol, computed with meta-GGA SCAN.

```
data_Tl2SiBr
_cell_length_a 4.361
_cell_length_b 4.361
_cell_length_c 10.917
_cell_angle_alpha 90.00
_cell_angle_beta 90.00
_cell_angle_gamma 90.00
_space_group_name_H-M_alt 'I -4 m 2'
_space_group_IT_number 119
_space_group_name_Hall 'I -4 -2'
loop_
_atom_site_label
_atom_site_type_symbol
_atom_site_fract_x
_atom_site_fract_y
_atom_site_fract_z
_atom_site_occupancy
Tl1 Tl 0.000 0.000 0.000 1
Tl2 Tl 0.000 0.500 0.250 1
Si1 Si 0.000 0.500 0.750 1
Br1 Br 0.000 0.000 0.500 1
```

Properties
- E_form (uncorrected): 0.2842 eV per atom
- Total moment: 0.00 μB per formula unit

=====

A crystal of Ba2NiAu relaxed with PBEsol, computed with meta-GGA SCAN.

```
data_Ba2NiAu
_cell_length_a 4.556
_cell_length_b 4.521
_cell_length_c 11.709
_cell_angle_alpha 90.00
_cell_angle_beta 90.00
_cell_angle_gamma 90.00
_space_group_name_H-M_alt 'A m m 2'
_space_group_IT_number 38
_space_group_name_Hall 'A 2 -2'
loop_
_atom_site_label
_atom_site_type_symbol
_atom_site_fract_x
_atom_site_fract_y
_atom_site_fract_z
_atom_site_occupancy
Ba1 Ba 0.000 0.000 0.000 1
Ba2 Ba 0.500 0.000 0.283 1
Ni1 Ni 0.000 0.000 0.692 1
Au1 Au 0.500 0.000 0.582 1
```

Properties
- ΔH_f (0 K): -0.3356 eV per atom
- Total moment: 0.00 μB per formula unit

=====

A crystal of LiTe2Br relaxed with PBEsol, computed with meta-GGA SCAN.

```
data_LiTe2Br
_cell_length_a 3.972
_cell_length_b 7.654
_cell_length_c 4.506
_cell_angle_alpha 90.00
_cell_angle_beta 90.36
_cell_angle_gamma 90.00
_space_group_name_H-M_alt 'P 1 2/m 1'
_space_group_IT_number 10
_space_group_name_Hall '-P 2y'
loop_
_atom_site_label
_atom_site_type_symbol
_atom_site_fract_x
_atom_site_fract_y
_atom_site_fract_z
_atom_site_occupancy
Li1 Li 0.000 0.000 0.000 1
Te1 Te 0.252 0.500 0.250 1
Br1 Br 0.000 0.000 0.500 1
```

Properties
- E_form (uncorrected): -0.5641 eV per atom
- Total moment: 0.00 μB per formula unit

=====

A crystal of ZnNiAu2 relaxed with PBEsol, computed with meta-GGA SCAN.

```
data_ZnNiAu2
_cell_length_a 2.809
_cell_length_b 3.390
_cell_length_c 6.060
_cell_angle_alpha 90.00
_cell_angle_beta 90.00
_cell_angle_gamma 90.00
_space_group_name_H-M_alt 'P m m 2'
_space_group_IT_number 25
_space_group_name_Hall 'P 2 -2'
loop_
_atom_site_label
_atom_site_type_symbol
_atom_site_fract_x
_atom_site_fract_y
_atom_site_fract_z
_atom_site_occupancy
Zn1 Zn 0.000 0.000 0.000 1
Ni1 Ni 0.500 0.500 0.802 1
Au1 Au 0.000 0.000 0.558 1
Au2 Au 0.500 0.500 0.255 1
```

Properties
- ΔH_f (0 K): -0.1043 eV per atom
- Total moment: 0.00 μB per formula unit

=====

A crystal of Li2LaCu relaxed with PBEsol, computed with meta-GGA SCAN.

```
data_Li2LaCu
_cell_length_a 3.347
_cell_length_b 3.347
_cell_length_c 7.319
_cell_angle_alpha 90.00
_cell_angle_beta 90.00
_cell_angle_gamma 90.00
_space_group_name_H-M_alt 'P 4 m m'
_space_group_IT_number 99
_space_group_name_Hall 'P 4 -2'
loop_
_atom_site_label
_atom_site_type_symbol
_atom_site_fract_x
_atom_site_fract_y
_atom_site_fract_z
_atom_site_occupancy
Li1 Li 0.000 0.000 0.000 1
Li2 Li 0.500 0.500 0.209 1
La1 La 0.500 0.500 0.633 1
Cu1 Cu 0.000 0.000 0.378 1
```

Properties
- ΔH_f (0 K): 0.0042 eV per atom
- Total moment: 0.02 μB per formula unit

=====

A crystal of MoPI2O relaxed with PBEsol, computed with meta-GGA SCAN.

```
data_MoPI2O
_cell_length_a 5.473
_cell_length_b 5.473
_cell_length_c 3.471
_cell_angle_alpha 90.00
_cell_angle_beta 90.00
_cell_angle_gamma 90.00
_space_group_name_H-M_alt 'P 4/m m m'
_space_group_IT_number 123
_space_group_name_Hall '-P 4 2'
loop_
_atom_site_label
_atom_site_type_symbol
_atom_site_fract_x
_atom_site_fract_y
_atom_site_fract_z
_atom_site_occupancy
Mo1 Mo 0.000 0.000 0.000 1
P1 P 0.500 0.500 0.500 1
I1 I 0.000 0.500 0.500 1
O1 O 0.500 0.500 0.000 1
```

Properties
- E_form (uncorrected): 0.4381 eV per atom
- Total moment: 4.64 μB per formula unit

=====

A crystal of Li2ScW relaxed with PBEsol, computed with meta-GGA SCAN.

```
data_Li2ScW
_cell_length_a 2.736
_cell_length_b 4.994
_cell_length_c 9.267
_cell_angle_alpha 90.00
_cell_angle_beta 90.00
_cell_angle_gamma 90.00
_space_group_name_H-M_alt 'I m m 2'
_space_group_IT_number 44
_space_group_name_Hall 'I 2 -2'
loop_
_atom_site_label
_atom_site_type_symbol
_atom_site_fract_x
_atom_site_fract_y
_atom_site_fract_z
_atom_site_occupancy
Li1 Li 0.000 0.000 0.000 1
Li2 Li 0.000 0.500 0.287 1
Sc1 Sc 0.000 0.500 0.764 1
W1 W 0.000 0.000 0.526 1
```

Properties
- ΔH_f (0 K): 0.5573 eV per atom
- Total moment: 0.00 μB per formula unit

=====

A crystal of CuPt relaxed with PBEsol, computed with meta-GGA SCAN.

```
data_CuPt
_cell_length_a 9.750
_cell_length_b 2.699
_cell_length_c 4.525
_cell_angle_alpha 90.00
_cell_angle_beta 116.48
_cell_angle_gamma 90.00
_space_group_name_H-M_alt 'C 1 2/m 1'
_space_group_IT_number 12
_space_group_name_Hall '-C 2y'
loop_
_atom_site_label
_atom_site_type_symbol
_atom_site_fract_x
_atom_site_fract_y
_atom_site_fract_z
_atom_site_occupancy
Cu1 Cu 0.125 0.000 0.291 1
Pt1 Pt 0.125 0.500 0.790 1
```

Properties
- ΔH_f (0 K): -0.1440 eV per atom
- Total moment: 0.00 μB per formula unit

=====

A crystal of Co3Ir relaxed with PBEsol, computed with meta-GGA SCAN.

```
data_Co3Ir
_cell_length_a 2.572
_cell_length_b 4.051
_cell_length_c 4.370
_cell_angle_alpha 90.00
_cell_angle_beta 90.00
_cell_angle_gamma 90.00
_space_group_name_H-M_alt 'P m m 2'
_space_group_IT_number 25
_space_group_name_Hall 'P 2 -2'
loop_
_atom_site_label
_atom_site_type_symbol
_atom_site_fract_x
_atom_site_fract_y
_atom_site_fract_z
_atom_site_occupancy
Co1 Co 0.000 0.000 0.000 1
Co2 Co 0.000 0.500 0.331 1
Co3 Co 0.500 0.000 0.483 1
Ir1 Ir 0.500 0.500 0.831 1
```

Properties
- ΔH_f (0 K): 0.0301 eV per atom
- Total moment: 5.67 μB per formula unit

=====

A crystal of CdAsIr2 relaxed with PBEsol, computed with meta-GGA SCAN.

```
data_CdAsIr2
_cell_length_a 4.614
_cell_length_b 2.922
_cell_length_c 5.028
_cell_angle_alpha 90.00
_cell_angle_beta 112.55
_cell_angle_gamma 90.00
_space_group_name_H-M_alt 'P 1 2/m 1'
_space_group_IT_number 10
_space_group_name_Hall '-P 2y'
loop_
_atom_site_label
_atom_site_type_symbol
_atom_site_fract_x
_atom_site_fract_y
_atom_site_fract_z
_atom_site_occupancy
Cd1 Cd 0.000 0.000 0.000 1
As1 As 0.000 0.500 0.500 1
Ir1 Ir 0.500 0.000 0.500 1
Ir2 Ir 0.500 0.500 0.000 1
```

Properties
- ΔH_f (0 K): 0.2692 eV per atom
- Total moment: 0.00 μB per formula unit

=====

A crystal of OsRu2Br relaxed with PBEsol, computed with meta-GGA SCAN.

```
data_OsRu2Br
_cell_length_a 4.047
_cell_length_b 4.047
_cell_length_c 7.116
_cell_angle_alpha 90.00
_cell_angle_beta 90.00
_cell_angle_gamma 90.00
_space_group_name_H-M_alt 'I 4/m m m'
_space_group_IT_number 139
_space_group_name_Hall '-I 4 2'
loop_
_atom_site_label
_atom_site_type_symbol
_atom_site_fract_x
_atom_site_fract_y
_atom_site_fract_z
_atom_site_occupancy
Os1 Os 0.000 0.000 0.000 1
Ru1 Ru 0.000 0.500 0.250 1
Br1 Br 0.000 0.000 0.500 1
```

Properties
- E_form (uncorrected): 1.2418 eV per atom
- Total moment: 0.00 μB per formula unit